No. 1
Here is crystalline GeIrW at its relaxed geometry from Alexandria via LeMat-Bulk. Energies are from PBE.

a b c (Å): 2.813 2.909 13.046
angles (deg): 90.00 90.00 118.91
Positions (direct):
Ir  0.718  0.436  0.664
Ir  0.718  0.436  0.336
Ge  0.177  0.354  0.166
Ge  0.177  0.354  0.834
W  0.394  0.788  0.500
W  0.483  0.965  0.000

Computed properties:
* ΔE_f: 0.072 eV/atom
* uncorrected energy: -8.739 eV per atom
* calculated volume: 93.4 Å³/cell


No. 2
Here is crystalline GeIrW3 at its relaxed geometry from Alexandria via LeMat-Bulk. Energies are from PBE.

a b c (Å): 4.780 4.780 4.780
angles (deg): 90.00 90.00 90.00
Positions (direct):
W  0.000  0.000  0.500
W  0.500  0.000  0.000
W  0.000  0.500  0.000
Ge  0.500  0.500  0.500
Ir  0.000  0.000  0.000

Computed properties:
* ΔE_f: 1.972 eV/atom
* uncorrected energy: -8.496 eV per atom
* E above lowest polymorph: 197.0 meV/atom
* calculated volume: 109.2 Å³/cell


No. 3
Here is crystalline Ge2IrW at its relaxed geometry from Alexandria via LeMat-Bulk. Energies are from PBE.

a b c (Å): 7.016 7.016 5.672
angles (deg): 51.80 51.80 90.00
Positions (direct):
Ge  0.375  0.356  0.750
Ge  0.875  0.894  0.750
Ge  0.106  0.625  0.250
Ge  0.644  0.125  0.250
Ir  0.750  0.250  0.500
Ir  0.000  0.000  0.000
W  0.500  0.500  0.000
W  0.250  0.750  0.500

Computed properties:
* ΔE_f: 0.636 eV/atom
* uncorrected energy: -7.126 eV per atom
* E above lowest polymorph: 466.2 meV/atom
* calculated volume: 135.3 Å³/cell


No. 4
Here is crystalline YGe2Ir at its relaxed geometry from Alexandria via LeMat-Bulk. Energies are from PBE.

a b c (Å): 3.166 3.166 9.779
angles (deg): 80.68 80.68 60.00
Positions (direct):
Y  0.000  0.000  0.000
Ir  0.500  0.500  0.500
Ge  0.102  0.102  0.693
Ge  0.898  0.898  0.307

Computed properties:
* ΔE_f: 0.101 eV/atom
* uncorrected energy: -6.039 eV per atom
* calculated volume: 83.4 Å³/cell


No. 5
Here is crystalline Y3Ge2Ir2 at its relaxed geometry from Alexandria via LeMat-Bulk. Energies are from PBE.

a b c (Å): 5.644 7.863 13.341
angles (deg): 90.00 90.00 90.00
Positions (direct):
Y  0.858  0.394  0.898
Y  0.142  0.894  0.602
Y  0.142  0.606  0.398
Y  0.621  0.743  0.250
Y  0.858  0.106  0.398
Y  0.621  0.757  0.750
Y  0.379  0.257  0.750
Y  0.858  0.394  0.602
Y  0.142  0.894  0.898
Y  0.379  0.243  0.250
Y  0.858  0.106  0.102
Y  0.142  0.606  0.102
Ir  0.641  0.035  0.591
Ir  0.641  0.465  0.091
Ir  0.641  0.035  0.909
Ir  0.641  0.465  0.409
Ir  0.359  0.535  0.909
Ir  0.359  0.965  0.409
Ir  0.359  0.965  0.091
Ir  0.359  0.535  0.591
Ge  0.367  0.250  0.500
Ge  0.633  0.750  0.500
Ge  0.126  0.891  0.250
Ge  0.874  0.391  0.250
Ge  0.126  0.609  0.750
Ge  0.633  0.750  0.000
Ge  0.367  0.250  0.000
Ge  0.874  0.109  0.750

Computed properties:
* ΔE_f: -0.902 eV/atom
* uncorrected energy: -7.523 eV per atom
* calculated volume: 592.0 Å³/cell


No. 6
Here is crystalline Y2Ge2Ir at its relaxed geometry from Alexandria via LeMat-Bulk. Energies are from PBE.

a b c (Å): 3.628 3.628 8.765
angles (deg): 78.05 78.05 90.00
Positions (direct):
Y  0.597  0.597  0.806
Y  0.403  0.403  0.194
Ge  0.750  0.250  0.500
Ge  0.250  0.750  0.500
Ir  0.000  0.000  0.000

Computed properties:
* ΔE_f: -0.453 eV/atom
* uncorrected energy: -6.658 eV per atom
* calculated volume: 110.3 Å³/cell


No. 7
Here is crystalline Y3GeIr2 at its relaxed geometry from Alexandria via LeMat-Bulk. Energies are from PBE.

a b c (Å): 3.974 11.908 11.670
angles (deg): 90.00 90.00 90.00
Positions (direct):
Ir  0.750  0.191  0.011
Ir  0.750  0.989  0.689
Ir  0.250  0.809  0.989
Ir  0.750  0.511  0.189
Ir  0.250  0.011  0.311
Ir  0.750  0.309  0.511
Ir  0.250  0.691  0.489
Ir  0.250  0.489  0.811
Ge  0.250  0.134  0.123
Ge  0.250  0.366  0.623
Ge  0.750  0.634  0.377
Ge  0.750  0.866  0.877
Y  0.750  0.564  0.628
Y  0.750  0.619  0.948
Y  0.250  0.816  0.699
Y  0.750  0.316  0.801
Y  0.750  0.936  0.128
Y  0.250  0.381  0.052
Y  0.250  0.684  0.199
Y  0.250  0.119  0.552
Y  0.750  0.881  0.448
Y  0.250  0.064  0.872
Y  0.250  0.436  0.372
Y  0.750  0.184  0.301

Computed properties:
* ΔE_f: -0.764 eV/atom
* uncorrected energy: -7.719 eV per atom
* calculated volume: 552.3 Å³/cell


No. 8
Here is crystalline Y3Ge3Ir at its relaxed geometry from Alexandria via LeMat-Bulk. Energies are from PBE.

a b c (Å): 4.292 5.735 13.381
angles (deg): 84.29 80.77 68.02
Positions (direct):
Ir  0.751  0.108  0.389
Ir  0.249  0.892  0.611
Ge  0.968  0.832  0.232
Ge  0.881  0.163  0.074
Ge  0.141  0.257  0.462
Ge  0.859  0.743  0.538
Ge  0.119  0.837  0.926
Ge  0.032  0.168  0.768
Y  0.471  0.678  0.379
Y  0.529  0.322  0.621
Y  0.742  0.748  0.767
Y  0.397  0.283  0.923
Y  0.603  0.717  0.077
Y  0.258  0.252  0.233

Computed properties:
* ΔE_f: -0.914 eV/atom
* uncorrected energy: -6.929 eV per atom
* calculated volume: 301.2 Å³/cell


No. 9
Here is crystalline Y2Ge2Ir at its relaxed geometry from Alexandria via LeMat-Bulk. Energies are from PBE.

a b c (Å): 6.708 6.708 4.463
angles (deg): 90.00 90.00 90.00
Positions (direct):
Ir  0.000  0.000  0.000
Ir  0.500  0.500  0.000
Ge  0.364  0.864  0.000
Ge  0.636  0.136  0.000
Ge  0.136  0.364  0.000
Ge  0.864  0.636  0.000
Y  0.174  0.674  0.500
Y  0.326  0.174  0.500
Y  0.674  0.826  0.500
Y  0.826  0.326  0.500

Computed properties:
* ΔE_f: -0.889 eV/atom
* uncorrected energy: -7.094 eV per atom
* calculated volume: 200.8 Å³/cell


No. 10
Here is crystalline YGeIr2 at its relaxed geometry from Alexandria via LeMat-Bulk. Energies are from PBE.

a b c (Å): 7.260 7.260 5.917
angles (deg): 52.16 52.16 90.00
Positions (direct):
Y  0.000  0.000  0.000
Y  0.750  0.250  0.500
Ge  0.250  0.750  0.500
Ge  0.500  0.500  0.000
Ir  0.875  0.815  0.750
Ir  0.565  0.125  0.250
Ir  0.185  0.625  0.250
Ir  0.375  0.435  0.750

Computed properties:
* ΔE_f: -0.229 eV/atom
* uncorrected energy: -7.430 eV per atom
* calculated volume: 155.1 Å³/cell


No. 11
Here is crystalline YGe4Ir2 at its relaxed geometry from Alexandria via LeMat-Bulk. Energies are from PBE.

a b c (Å): 4.209 6.801 17.253
angles (deg): 90.00 90.00 90.00
Positions (direct):
Ge  0.750  0.307  0.319
Ge  0.250  0.469  0.435
Ge  0.750  0.632  0.965
Ge  0.750  0.868  0.465
Ge  0.750  0.969  0.065
Ge  0.750  0.772  0.807
Ge  0.250  0.132  0.535
Ge  0.750  0.728  0.307
Ge  0.250  0.272  0.693
Ge  0.250  0.693  0.681
Ge  0.250  0.368  0.035
Ge  0.250  0.031  0.935
Ge  0.750  0.531  0.565
Ge  0.250  0.807  0.181
Ge  0.250  0.228  0.193
Ge  0.750  0.193  0.819
Ir  0.750  0.250  0.468
Ir  0.750  0.022  0.212
Ir  0.250  0.750  0.032
Ir  0.250  0.978  0.788
Ir  0.750  0.478  0.712
Ir  0.750  0.250  0.968
Ir  0.250  0.750  0.532
Ir  0.250  0.522  0.288
Y  0.750  0.504  0.142
Y  0.250  0.004  0.358
Y  0.250  0.496  0.858
Y  0.750  0.996  0.642

Computed properties:
* ΔE_f: -0.586 eV/atom
* uncorrected energy: -6.679 eV per atom
* calculated volume: 493.9 Å³/cell


No. 12
Here is crystalline Y2Ge5Ir3 at its relaxed geometry from Alexandria via LeMat-Bulk. Energies are from PBE.

a b c (Å): 4.226 6.898 12.568
angles (deg): 90.00 99.68 90.00
Positions (direct):
Ge  0.882  0.763  0.764
Ge  0.400  0.378  0.799
Ge  0.048  0.577  0.096
Ge  0.294  0.945  0.589
Ge  0.706  0.445  0.411
Ge  0.118  0.263  0.236
Ge  0.291  0.520  0.583
Ge  0.600  0.878  0.201
Ge  0.709  0.020  0.417
Ge  0.952  0.077  0.904
Y  0.824  0.242  0.648
Y  0.176  0.742  0.352
Y  0.520  0.240  0.040
Y  0.480  0.740  0.960
Ir  0.946  0.458  0.892
Ir  0.054  0.958  0.108
Ir  0.606  0.510  0.212
Ir  0.222  0.232  0.443
Ir  0.394  0.010  0.788
Ir  0.778  0.732  0.557

Computed properties:
* ΔE_f: -0.698 eV/atom
* uncorrected energy: -6.958 eV per atom
* E above lowest polymorph: 20.1 meV/atom
* calculated volume: 361.1 Å³/cell